An optimized crystal structure of YTmScAl, computed with PBE-GGA.

Cell lengths 4.563, 4.682, 4.665 Å; angles 90.00, 90.00, 90.00 degrees
Sites, in units of the cell vectors:
Y  0.500  0.500  0.000
Al  0.000  0.500  0.500
Tm  0.500  0.000  0.500
Sc  0.000  0.000  0.000

## Properties
- space group = Pmmm (47)
- size of the total moment (μB per formula unit) = 0.0
- formation enthalpy at 0 K (eV/f.u.) = -0.8

=====

An optimized crystal structure of TmScAlZn, computed with PBE-GGA.

Cell lengths 4.892, 4.892, 4.892 Å; angles 60.00, 60.00, 60.00 degrees
Sites, in units of the cell vectors:
Zn  0.000  0.000  0.000
Tm  0.750  0.750  0.750
Sc  0.250  0.250  0.250
Al  0.500  0.500  0.500

## Properties
- space group = F-43m (216)
- size of the total moment (μB per formula unit) = 0.0
- formation enthalpy at 0 K (eV/f.u.) = -1.5

=====

An optimized crystal structure of TmZrScAl, computed with PBE-GGA.

Cell lengths 5.035, 5.035, 5.035 Å; angles 60.00, 60.00, 60.00 degrees
Last column: magnetic moment on the atom in μB.
Sites, in units of the cell vectors:
Sc  0.750  0.750  0.750  0.18
Zr  0.000  0.000  0.000  0.22
Tm  0.500  0.500  0.500  0.10
Al  0.250  0.250  0.250  -0.01

## Properties
- space group = F-43m (216)
- size of the total moment (μB per formula unit) = 0.7
- formation enthalpy at 0 K (eV/f.u.) = -0.3

=====

An optimized crystal structure of ScUAl4, computed with PBE-GGA.

Cell lengths 5.450, 5.450, 5.450 Å; angles 60.00, 60.00, 60.00 degrees
Last column: magnetic moment on the atom in μB.
Sites, in units of the cell vectors:
Al  0.124  0.625  0.625  0.00
Al  0.625  0.625  0.625  0.00
Al  0.625  0.124  0.625  0.00
Al  0.625  0.625  0.124  0.00
Sc  0.250  0.250  0.250  0.03
U  0.000  0.000  0.000  2.35

## Properties
- space group = F-43m (216)
- size of the total moment (μB per formula unit) = 2.7
- formation enthalpy at 0 K (eV/f.u.) = -1.3

=====

An optimized crystal structure of Sc2UAl, computed with PBE-GGA.

Cell lengths 3.093, 3.093, 8.816 Å; angles 90.00, 90.00, 90.00 degrees
Last column: magnetic moment on the atom in μB.
Sites, in units of the cell vectors:
Al  0.500  0.500  0.500  0.00
Sc  0.000  0.000  0.273  -0.01
Sc  0.000  0.000  0.727  -0.01
U  0.500  0.500  0.000  1.83

## Properties
- space group = P4/mmm (123)
- size of the total moment (μB per formula unit) = 2.0
- formation enthalpy at 0 K (eV/f.u.) = -0.3

=====

An optimized crystal structure of ScU2Al9, computed with PBE-GGA.

Cell lengths 4.217, 4.217, 12.602 Å; angles 90.00, 90.00, 90.00 degrees
Last column: magnetic moment on the atom in μB.
Sites, in units of the cell vectors:
Sc  0.000  0.000  0.000  -0.01
Al  0.500  0.000  0.161  0.01
Al  0.500  0.000  0.500  0.01
Al  0.000  0.500  0.500  0.01
Al  0.000  0.500  0.839  0.01
Al  0.500  0.000  0.839  0.01
Al  0.500  0.500  0.669  0.02
Al  0.500  0.500  0.000  0.01
Al  0.500  0.500  0.331  0.02
Al  0.000  0.500  0.161  0.01
U  0.000  0.000  0.670  1.92
U  0.000  0.000  0.330  1.92

## Properties
- space group = P4/mmm (123)
- size of the total moment (μB per formula unit) = 4.5
- formation enthalpy at 0 K (eV/f.u.) = -2.8

=====

An optimized crystal structure of Sc2Al3V, computed with PBE-GGA.

Cell lengths 5.383, 5.383, 5.313 Å; angles 89.99, 120.47, 119.98 degrees
Last column: magnetic moment on the atom in μB.
Sites, in units of the cell vectors:
Al  0.500  0.500  0.500  -0.01
Al  0.500  0.000  0.500  -0.01
Al  0.000  0.000  0.500  -0.01
V  0.000  0.000  0.000  0.76
Sc  0.744  0.372  0.116  0.12
Sc  0.256  0.628  0.884  0.12

## Properties
- space group = R-3m (166)
- size of the total moment (μB per formula unit) = 1.2
- formation enthalpy at 0 K (eV/f.u.) = -2.3

=====

An optimized crystal structure of ScAl2V2, computed with PBE-GGA.

Cell lengths 7.246, 7.246, 3.093 Å; angles 90.00, 90.00, 90.00 degrees
Sites, in units of the cell vectors:
Sc  0.500  0.500  0.000
Sc  0.000  0.000  0.000
V  0.172  0.672  0.500
V  0.328  0.172  0.500
V  0.672  0.828  0.500
V  0.828  0.328  0.500
Al  0.624  0.124  0.000
Al  0.876  0.624  0.000
Al  0.376  0.876  0.000
Al  0.124  0.376  0.000

## Properties
- space group = P4/mbm (127)
- size of the total moment (μB per formula unit) = 0.0
- formation enthalpy at 0 K (eV/f.u.) = -0.6

=====

An optimized crystal structure of ScAlV2, computed with PBE-GGA.

Cell lengths 4.276, 3.891, 3.891 Å; angles 90.00, 90.00, 90.00 degrees
Last column: magnetic moment on the atom in μB.
Sites, in units of the cell vectors:
V  0.000  0.500  0.000  0.19
V  0.000  0.000  0.500  0.19
Sc  0.500  0.500  0.500  0.01
Al  0.500  0.000  0.000  0.00

## Properties
- space group = P4/mmm (123)
- size of the total moment (μB per formula unit) = 0.5
- formation enthalpy at 0 K (eV/f.u.) = 0.1

=====

An optimized crystal structure of ScAlV2, computed with PBE-GGA.

Cell lengths 7.176, 7.176, 5.730 Å; angles 51.23, 51.23, 90.00 degrees
Sites, in units of the cell vectors:
Sc  0.750  0.250  0.500
Sc  0.000  0.000  0.000
V  0.145  0.625  0.250
V  0.375  0.395  0.750
V  0.875  0.855  0.750
V  0.605  0.125  0.250
Al  0.250  0.750  0.500
Al  0.500  0.500  0.000

## Properties
- space group = I-42d (122)
- size of the total moment (μB per formula unit) = 0.0
- formation enthalpy at 0 K (eV/f.u.) = 2.1

=====

An optimized crystal structure of ScAl2V, computed with PBE-GGA.

Cell lengths 2.923, 2.923, 9.480 Å; angles 81.13, 81.13, 60.00 degrees
Sites, in units of the cell vectors:
Al  0.743  0.743  0.772
Al  0.257  0.257  0.228
V  0.000  0.000  0.000
Sc  0.500  0.500  0.500

## Properties
- space group = R-3m (166)
- size of the total moment (μB per formula unit) = 0.0
- formation enthalpy at 0 K (eV/f.u.) = -0.1

=====

An optimized crystal structure of Sc3AlV, computed with PBE-GGA.

Cell lengths 4.867, 4.867, 4.867 Å; angles 90.00, 90.00, 90.00 degrees
Last column: magnetic moment on the atom in μB.
Sites, in units of the cell vectors:
Sc  0.500  0.000  0.000  0.04
Sc  0.000  0.000  0.500  0.04
Sc  0.000  0.500  0.000  0.04
V  0.000  0.000  0.000  0.28
Al  0.500  0.500  0.500  0.00

## Properties
- space group = Pm-3m (221)
- size of the total moment (μB per formula unit) = 0.4
- formation enthalpy at 0 K (eV/f.u.) = 2.6

=====

An optimized crystal structure of Sc2Al2V, computed with PBE-GGA.

Cell lengths 7.194, 7.194, 3.811 Å; angles 90.00, 90.00, 90.00 degrees
Last column: magnetic moment on the atom in μB.
Sites, in units of the cell vectors:
Al  0.371  0.871  0.000  -0.02
Al  0.629  0.129  0.000  -0.02
Al  0.871  0.629  0.000  -0.02
Al  0.129  0.371  0.000  -0.02
V  0.000  0.000  0.000  2.24
V  0.500  0.500  0.000  2.24
Sc  0.674  0.826  0.500  0.05
Sc  0.174  0.674  0.500  0.05
Sc  0.826  0.326  0.500  0.05
Sc  0.326  0.174  0.500  0.05

## Properties
- space group = P4/mbm (127)
- size of the total moment (μB per formula unit) = 3.0
- formation enthalpy at 0 K (eV/f.u.) = -0.7

=====

An optimized crystal structure of ScAl2V2, computed with PBE-GGA.

Cell lengths 4.041, 4.041, 6.065 Å; angles 70.54, 70.54, 90.00 degrees
Sites, in units of the cell vectors:
V  0.412  0.412  0.175
V  0.588  0.588  0.825
Al  0.250  0.750  0.500
Al  0.750  0.250  0.500
Sc  0.000  0.000  0.000

## Properties
- space group = I4/mmm (139)
- size of the total moment (μB per formula unit) = 0.0
- formation enthalpy at 0 K (eV/f.u.) = 0.5

=====

An optimized crystal structure of ScAl2V, computed with PBE-GGA.

Cell lengths 4.195, 4.029, 4.029 Å; angles 90.00, 90.00, 90.00 degrees
Last column: magnetic moment on the atom in μB.
Sites, in units of the cell vectors:
V  0.500  0.500  0.500  1.57
Al  0.000  0.000  0.500  -0.03
Al  0.000  0.500  0.000  -0.03
Sc  0.500  0.000  0.000  0.12

## Properties
- space group = P4/mmm (123)
- size of the total moment (μB per formula unit) = 1.9
- formation enthalpy at 0 K (eV/f.u.) = -0.8

=====

An optimized crystal structure of ScAl2V2, computed with PBE-GGA.

Cell lengths 3.662, 3.662, 6.814 Å; angles 74.41, 74.41, 90.00 degrees
Sites, in units of the cell vectors:
V  0.750  0.250  0.500
V  0.250  0.750  0.500
Al  0.398  0.398  0.203
Al  0.602  0.602  0.797
Sc  0.000  0.000  0.000

## Properties
- space group = I4/mmm (139)
- size of the total moment (μB per formula unit) = 0.0
- formation enthalpy at 0 K (eV/f.u.) = -0.5

=====

An optimized crystal structure of ScAl2V, computed with PBE-GGA.

Cell lengths 4.577, 4.577, 4.577 Å; angles 60.00, 60.00, 60.00 degrees
Last column: magnetic moment on the atom in μB.
Sites, in units of the cell vectors:
Sc  0.000  0.000  0.000  -0.03
V  0.500  0.500  0.500  2.03
Al  0.250  0.250  0.250  -0.02
Al  0.750  0.750  0.750  -0.02

## Properties
- space group = Fm-3m (225)
- size of the total moment (μB per formula unit) = 2.4
- formation enthalpy at 0 K (eV/f.u.) = -0.9

=====

An optimized crystal structure of Sc2AlV2, computed with PBE-GGA.

Cell lengths 6.842, 6.842, 3.886 Å; angles 90.00, 90.00, 90.00 degrees
Last column: magnetic moment on the atom in μB.
Sites, in units of the cell vectors:
Sc  0.829  0.329  0.500  0.01
Sc  0.329  0.171  0.500  0.01
Sc  0.171  0.671  0.500  0.01
Sc  0.671  0.829  0.500  0.01
V  0.875  0.625  0.000  0.13
V  0.625  0.125  0.000  0.13
V  0.375  0.875  0.000  0.13
V  0.125  0.375  0.000  0.13
Al  0.000  0.000  0.000  0.00
Al  0.500  0.500  0.000  0.00

## Properties
- space group = P4/mbm (127)
- size of the total moment (μB per formula unit) = 0.3
- formation enthalpy at 0 K (eV/f.u.) = 0.3

=====

An optimized crystal structure of Sc3AlV, computed with PBE-GGA.

Cell lengths 5.120, 5.120, 5.120 Å; angles 90.00, 90.00, 90.00 degrees
Last column: magnetic moment on the atom in μB.
Sites, in units of the cell vectors:
Al  0.000  0.000  0.000  0.02
V  0.500  0.500  0.500  2.91
Sc  0.000  0.000  0.500  0.28
Sc  0.500  0.000  0.000  0.28
Sc  0.000  0.500  0.000  0.28

## Properties
- space group = Pm-3m (221)
- size of the total moment (μB per formula unit) = 5.7
- formation enthalpy at 0 K (eV/f.u.) = 3.8

=====

An optimized crystal structure of ScAl2V2, computed with PBE-GGA.

Cell lengths 7.723, 7.723, 2.732 Å; angles 90.00, 90.00, 90.00 degrees
Last column: magnetic moment on the atom in μB.
Sites, in units of the cell vectors:
V  0.608  0.108  0.000  0.00
V  0.108  0.392  0.000  0.00
V  0.392  0.892  0.000  0.00
V  0.892  0.608  0.000  0.00
Al  0.184  0.684  0.500  0.00
Al  0.816  0.316  0.500  0.00
Al  0.316  0.184  0.500  0.00
Al  0.684  0.816  0.500  0.00
Sc  0.500  0.500  0.000  0.30
Sc  0.000  0.000  0.000  0.30

## Properties
- space group = P4/mbm (127)
- size of the total moment (μB per formula unit) = 0.4
- formation enthalpy at 0 K (eV/f.u.) = -0.7